[1]
# Ni4Pt3W2 | Alexandria via LeMat-Bulk | GGA-PBE | optimized geometry
# **Volume**: 14.19 A^3/atom
# **N(E_F)**: 1.021 states/eV/atom
# **VASP energy**: -268.0 eV per cell
data_Ni4Pt3W2
_space_group_name_H-M_alt 'C 1 2/c 1'
_space_group_IT_number 15
_cell_length_a 11.1487
_cell_length_b 9.3609
_cell_length_c 4.9848
_cell_angle_alpha 90.00
_cell_angle_beta 100.95
_cell_angle_gamma 90.00
loop_
_space_group_symop_operation_xyz
'x,y,z'
'-x,-y,-z'
'-x,y,-z+1/2'
'x,-y,z+1/2'
'x+1/2,y+1/2,z'
'-x+1/2,-y+1/2,-z'
'-x+1/2,y+1/2,-z+1/2'
'x+1/2,-y+1/2,z+1/2'
loop_
_atom_site_label
_atom_site_fract_x
_atom_site_fract_y
_atom_site_fract_z
Ni1 0.0832 0.2042 0.4512
Ni2 0.1772 0.3247 0.1016
Pt1 0.0000 0.4698 0.2500
Pt2 0.1091 0.0751 0.9303
W1 0.2113 0.4026 0.6189

=====

[2]
# Dy2Zn6Cu3 | Alexandria via LeMat-Bulk | GGA-PBE | optimized geometry
# **Volume**: 17.43 A^3/atom
# **N(E_F)**: 0.641 states/eV/atom
# **VASP energy**: -31.4 eV per cell
data_Dy2Zn6Cu3
_space_group_name_H-M_alt 'P -6 2 m'
_space_group_IT_number 189
_space_group_name_Hall 'P -6 -2'
_cell_length_a 7.3962
_cell_length_b 7.3962
_cell_length_c 4.0473
_cell_angle_alpha 90.00
_cell_angle_beta 90.00
_cell_angle_gamma 120.00
loop_
_atom_site_label
_atom_site_fract_x
_atom_site_fract_y
_atom_site_fract_z
Dy1 0.3333 0.6667 0.0000
Zn1 0.0000 0.2778 0.5000
Zn2 0.0000 0.7994 0.0000
Cu1 0.0000 0.6071 0.5000